# Li2TlI3 | Alexandria via LeMat-Bulk | PBE-GGA | relaxed
# * E_tot: -2.81 eV/atom
# * V: 913.4 Å³/cell
# * total magnetic moment: 0.00 μB per formula unit
# * DOS at the Fermi energy: 0.00 states/eV per atom
data_Li2TlI3
_space_group_name_H-M_alt 'C 1 2/m 1'
_space_group_IT_number 12
_space_group_name_Hall '-C 2y'
_cell_length_a 26.922
_cell_length_b 4.704
_cell_length_c 7.427
_cell_angle_alpha 90.00
_cell_angle_beta 103.82
_cell_angle_gamma 90.00
loop_
_atom_site_label
_atom_site_fract_x
_atom_site_fract_y
_atom_site_fract_z
Li1 0.056 0.000 0.408
Li2 0.206 0.500 0.520
Tl1 0.137 0.500 0.913
I1 0.048 0.000 0.775
I2 0.105 0.500 0.340
I3 0.231 0.000 0.727

# LiTl3I4 | Alexandria via LeMat-Bulk | PBE-GGA | relaxed
# * E_tot: -2.66 eV/atom
# * V: 1343.7 Å³/cell
# * total magnetic moment: 0.00 μB per formula unit
# * DOS at the Fermi energy: 0.00 states/eV per atom
data_LiTl3I4
_space_group_name_H-M_alt 'P n m a'
_space_group_IT_number 62
_space_group_name_Hall '-P 2ac 2n'
_cell_length_a 10.409
_cell_length_b 12.532
_cell_length_c 10.301
_cell_angle_alpha 90.00
_cell_angle_beta 90.00
_cell_angle_gamma 90.00
loop_
_atom_site_label
_atom_site_fract_x
_atom_site_fract_y
_atom_site_fract_z
Li1 0.185 0.250 0.013
Tl1 0.059 0.250 0.611
Tl2 0.091 0.569 0.801
I1 0.060 0.750 0.075
I2 0.161 0.250 0.282
I3 0.174 0.571 0.463

# LiTl3I4 | Alexandria via LeMat-Bulk | PBE-GGA | relaxed
# * E_tot: -2.66 eV/atom
# * V: 732.2 Å³/cell
# * total magnetic moment: 0.00 μB per formula unit
# * DOS at the Fermi energy: 0.00 states/eV per atom
data_LiTl3I4
_space_group_name_H-M_alt 'P m n 21'
_space_group_IT_number 31
_space_group_name_Hall 'P 2ac -2'
_cell_length_a 9.952
_cell_length_b 10.540
_cell_length_c 6.980
_cell_angle_alpha 90.00
_cell_angle_beta 90.00
_cell_angle_gamma 90.00
loop_
_atom_site_label
_atom_site_fract_x
_atom_site_fract_y
_atom_site_fract_z
Li1 0.000 0.205 0.000
Tl1 0.000 0.899 0.427
Tl2 0.198 0.656 0.924
I1 0.000 0.226 0.404
I2 0.000 0.942 0.927
I3 0.246 0.326 0.919

# LiTlI4 | Alexandria via LeMat-Bulk | PBE-GGA | relaxed
# * E_tot: -2.33 eV/atom
# * V: 556.0 Å³/cell
# * total magnetic moment: 0.00 μB per formula unit
# * DOS at the Fermi energy: 0.00 states/eV per atom
data_LiTlI4
_space_group_name_H-M_alt 'I -4'
_space_group_IT_number 82
_space_group_name_Hall 'I -4'
_cell_length_a 6.836
_cell_length_b 6.836
_cell_length_c 11.899
_cell_angle_alpha 90.00
_cell_angle_beta 90.00
_cell_angle_gamma 90.00
loop_
_atom_site_label
_atom_site_fract_x
_atom_site_fract_y
_atom_site_fract_z
Li1 0.000 0.000 0.000
Tl1 0.000 0.500 0.750
I1 0.242 0.256 0.615

# Li3TlI4 | Alexandria via LeMat-Bulk | PBE-GGA | relaxed
# * E_tot: -2.81 eV/atom
# * V: 611.6 Å³/cell
# * total magnetic moment: 0.00 μB per formula unit
# * DOS at the Fermi energy: 0.00 states/eV per atom
data_Li3TlI4
_space_group_name_H-M_alt 'A m m 2'
_space_group_IT_number 38
_space_group_name_Hall 'A 2 -2'
_cell_length_a 4.626
_cell_length_b 11.115
_cell_length_c 11.895
_cell_angle_alpha 90.00
_cell_angle_beta 90.00
_cell_angle_gamma 90.00
loop_
_atom_site_label
_atom_site_fract_x
_atom_site_fract_y
_atom_site_fract_z
Li1 0.000 0.000 0.000
Li2 0.500 0.200 0.276
Tl1 0.000 0.000 0.618
I1 0.000 0.195 0.148
I2 0.500 0.000 0.412
I3 0.500 0.000 0.863

# LiTl3I | Alexandria via LeMat-Bulk | PBE-GGA | relaxed
# * E_tot: -2.25 eV/atom
# * V: 159.8 Å³/cell
# * total magnetic moment: 0.00 μB per formula unit
# * DOS at the Fermi energy: 0.40 states/eV per atom
data_LiTl3I
_space_group_name_H-M_alt 'P m -3 m'
_space_group_IT_number 221
_space_group_name_Hall '-P 4 2 3'
_cell_length_a 5.427
_cell_length_b 5.427
_cell_length_c 5.427
_cell_angle_alpha 90.00
_cell_angle_beta 90.00
_cell_angle_gamma 90.00
loop_
_atom_site_label
_atom_site_fract_x
_atom_site_fract_y
_atom_site_fract_z
Li1 0.000 0.000 0.000
Tl1 0.000 0.000 0.500
I1 0.500 0.500 0.500

# LiTlI | Alexandria via LeMat-Bulk | PBE-GGA | relaxed
# * E_tot: -2.47 eV/atom
# * V: 196.7 Å³/cell
# * total magnetic moment: 0.00 μB per formula unit
# * DOS at the Fermi energy: 0.38 states/eV per atom
data_LiTlI
_space_group_name_H-M_alt 'I 4 m m'
_space_group_IT_number 107
_space_group_name_Hall 'I 4 -2'
_cell_length_a 3.837
_cell_length_b 3.837
_cell_length_c 13.361
_cell_angle_alpha 90.00
_cell_angle_beta 90.00
_cell_angle_gamma 90.00
loop_
_atom_site_label
_atom_site_fract_x
_atom_site_fract_y
_atom_site_fract_z
Li1 0.000 0.000 0.000
Tl1 0.000 0.000 0.317
I1 0.000 0.000 0.568

# LiTl2I4 | Alexandria via LeMat-Bulk | PBE-GGA | relaxed
# * E_tot: -2.42 eV/atom
# * V: 549.7 Å³/cell
# * total magnetic moment: 0.00 μB per formula unit
# * DOS at the Fermi energy: 1.44 states/eV per atom
data_LiTl2I4
_space_group_name_H-M_alt 'I 4/m m m'
_space_group_IT_number 139
_space_group_name_Hall '-I 4 2'
_cell_length_a 5.729
_cell_length_b 5.729
_cell_length_c 16.746
_cell_angle_alpha 90.00
_cell_angle_beta 90.00
_cell_angle_gamma 90.00
loop_
_atom_site_label
_atom_site_fract_x
_atom_site_fract_y
_atom_site_fract_z
Li1 0.000 0.000 0.000
Tl1 0.000 0.000 0.371
I1 0.000 0.000 0.177
I2 0.000 0.500 0.000

# LiTlI | Alexandria via LeMat-Bulk | PBE-GGA | relaxed
# * E_tot: -2.47 eV/atom
# * V: 95.4 Å³/cell
# * total magnetic moment: 0.00 μB per formula unit
# * DOS at the Fermi energy: 0.24 states/eV per atom
data_LiTlI
_space_group_name_H-M_alt 'P 3 m 1'
_space_group_IT_number 156
_space_group_name_Hall 'P 3 -2"'
_cell_length_a 4.1625
_cell_length_b 4.1625
_cell_length_c 6.3574
_cell_angle_alpha 90.00
_cell_angle_beta 90.00
_cell_angle_gamma 120.00
loop_
_atom_site_label
_atom_site_fract_x
_atom_site_fract_y
_atom_site_fract_z
Li1 0.0000 0.0000 0.0000
Tl1 0.6667 0.3333 0.3396
I1 0.3333 0.6667 0.8096

# Li2TlI3 | Alexandria via LeMat-Bulk | PBE-GGA | relaxed
# * E_tot: -2.78 eV/atom
# * V: 924.5 Å³/cell
# * total magnetic moment: 0.00 μB per formula unit
# * DOS at the Fermi energy: 0.00 states/eV per atom
data_Li2TlI3
_space_group_name_H-M_alt 'C m c m'
_space_group_IT_number 63
_space_group_name_Hall '-C 2c 2'
_cell_length_a 10.190
_cell_length_b 14.179
_cell_length_c 6.399
_cell_angle_alpha 90.00
_cell_angle_beta 90.00
_cell_angle_gamma 90.00
loop_
_atom_site_label
_atom_site_fract_x
_atom_site_fract_y
_atom_site_fract_z
Li1 0.171 0.000 0.000
Tl1 0.000 0.262 0.250
I1 0.000 0.107 0.750
I2 0.213 0.371 0.750

# LiTmTl2I6 | Alexandria via LeMat-Bulk | PBE-GGA | relaxed
# * E_tot: -3.08 eV/atom
# * V: 783.1 Å³/cell
# * total magnetic moment: 0.00 μB per formula unit
# * DOS at the Fermi energy: 0.00 states/eV per atom
data_LiTmTl2I6
_space_group_name_H-M_alt 'P 1 21/c 1'
_space_group_IT_number 14
_space_group_name_Hall '-P 2ybc'
_cell_length_a 8.018
_cell_length_b 8.478
_cell_length_c 13.979
_cell_angle_alpha 90.00
_cell_angle_beta 124.49
_cell_angle_gamma 90.00
loop_
_atom_site_label
_atom_site_fract_x
_atom_site_fract_y
_atom_site_fract_z
Li1 0.000 0.000 0.000
Tm1 0.500 0.000 0.500
Tl1 0.214 0.089 0.746
I1 0.145 0.194 0.450
I2 0.262 0.701 0.451
I3 0.353 0.017 0.249

# Li2TmTlI6 | Alexandria via LeMat-Bulk | PBE-GGA | relaxed
# * E_tot: -3.12 eV/atom
# * V: 1142.6 Å³/cell
# * total magnetic moment: 0.00 μB per formula unit
# * DOS at the Fermi energy: 0.00 states/eV per atom
data_Li2TmTlI6
_space_group_name_H-M_alt 'R 3'
_space_group_IT_number 146
_space_group_name_Hall 'R 3'
_cell_length_a 7.8127
_cell_length_b 7.8127
_cell_length_c 21.6153
_cell_angle_alpha 90.00
_cell_angle_beta 90.00
_cell_angle_gamma 120.00
loop_
_atom_site_label
_atom_site_fract_x
_atom_site_fract_y
_atom_site_fract_z
Li1 0.0000 0.0000 0.0000
Li2 0.0000 0.0000 0.4931
Tm1 0.0000 0.0000 0.8156
Tl1 0.0000 0.0000 0.3018
I1 0.0062 0.3361 0.7454
I2 0.0692 0.7271 0.5707

# Li2UTlI8 | Alexandria via LeMat-Bulk | PBE-GGA | relaxed
# * E_tot: -3.32 eV/atom
# * V: 534.5 Å³/cell
# * total magnetic moment: 1.00 μB per formula unit
data_Li2UTlI8
_space_group_name_H-M_alt 'P -1'
_space_group_IT_number 2
_space_group_name_Hall '-P 1'
_cell_length_a 7.226
_cell_length_b 7.520
_cell_length_c 9.937
_cell_angle_alpha 89.65
_cell_angle_beta 89.77
_cell_angle_gamma 81.82
loop_
_atom_site_label
_atom_site_fract_x
_atom_site_fract_y
_atom_site_fract_z
Li1 0.004 0.001 0.334
U1 0.500 0.500 0.000
Tl1 0.500 0.500 0.500
I1 0.209 0.171 0.502
I2 0.253 0.685 0.210
I3 0.254 0.685 0.789
I4 0.278 0.210 0.002

# LiUTl2I6 | Alexandria via LeMat-Bulk | PBE-GGA | relaxed
# * E_tot: -3.54 eV/atom
# * V: 814.8 Å³/cell
# * total magnetic moment: 3.00 μB per formula unit
# * DOS at the Fermi energy: 0.08 states/eV per atom
data_LiUTl2I6
_space_group_name_H-M_alt 'P 1 21/c 1'
_space_group_IT_number 14
_space_group_name_Hall '-P 2ybc'
_cell_length_a 8.083
_cell_length_b 8.628
_cell_length_c 14.119
_cell_angle_alpha 90.00
_cell_angle_beta 124.16
_cell_angle_gamma 90.00
loop_
_atom_site_label
_atom_site_fract_x
_atom_site_fract_y
_atom_site_fract_z
Li1 0.000 0.000 0.000
U1 0.500 0.000 0.500
Tl1 0.210 0.091 0.744
I1 0.130 0.196 0.446
I2 0.256 0.692 0.446
I3 0.358 0.023 0.244

# LiTlVI6 | Alexandria via LeMat-Bulk | PBE-GGA | relaxed
# * E_tot: -3.09 eV/atom
# * V: 351.0 Å³/cell
# * total magnetic moment: 0.97 μB per formula unit
# * DOS at the Fermi energy: 0.73 states/eV per atom
data_LiTlVI6
_space_group_name_H-M_alt 'P 3 1 2'
_space_group_IT_number 149
_space_group_name_Hall 'P 3 2'
_cell_length_a 7.4588
_cell_length_b 7.4588
_cell_length_c 7.2842
_cell_angle_alpha 90.00
_cell_angle_beta 90.00
_cell_angle_gamma 120.00
loop_
_atom_site_label
_atom_site_fract_x
_atom_site_fract_y
_atom_site_fract_z
Li1 0.0000 0.0000 0.0000
Tl1 0.6667 0.3333 0.5000
V1 0.3333 0.6667 0.0000
I1 0.0514 0.3540 0.2187

# Li2TlWI | Alexandria via LeMat-Bulk | PBE-GGA | relaxed
# * E_tot: -3.21 eV/atom
# * V: 143.4 Å³/cell
# * total magnetic moment: 1.22 μB per formula unit
# * DOS at the Fermi energy: 1.07 states/eV per atom
data_Li2TlWI
_space_group_name_H-M_alt 'P 4/m m m'
_space_group_IT_number 123
_space_group_name_Hall '-P 4 2'
_cell_length_a 5.309
_cell_length_b 5.309
_cell_length_c 5.086
_cell_angle_alpha 90.00
_cell_angle_beta 90.00
_cell_angle_gamma 90.00
loop_
_atom_site_label
_atom_site_fract_x
_atom_site_fract_y
_atom_site_fract_z
Li1 0.000 0.500 0.000
Tl1 0.000 0.000 0.500
W1 0.500 0.500 0.000
I1 0.500 0.500 0.500

# LiYTl2I6 | Alexandria via LeMat-Bulk | PBE-GGA | relaxed
# * E_tot: -3.30 eV/atom
# * V: 791.8 Å³/cell
# * total magnetic moment: 0.00 μB per formula unit
# * DOS at the Fermi energy: 0.00 states/eV per atom
data_LiYTl2I6
_space_group_name_H-M_alt 'P 1 21/c 1'
_space_group_IT_number 14
_space_group_name_Hall '-P 2ybc'
_cell_length_a 8.036
_cell_length_b 8.514
_cell_length_c 14.019
_cell_angle_alpha 90.00
_cell_angle_beta 124.36
_cell_angle_gamma 90.00
loop_
_atom_site_label
_atom_site_fract_x
_atom_site_fract_y
_atom_site_fract_z
Li1 0.000 0.000 0.000
Y1 0.500 0.000 0.500
Tl1 0.213 0.090 0.745
I1 0.141 0.195 0.449
I2 0.260 0.698 0.449
I3 0.355 0.018 0.248

# LiTlZnI4 | Alexandria via LeMat-Bulk | PBE-GGA | relaxed
# * E_tot: -2.44 eV/atom
# * V: 581.4 Å³/cell
# * total magnetic moment: 0.00 μB per formula unit
# * DOS at the Fermi energy: 0.00 states/eV per atom
data_LiTlZnI4
_space_group_name_H-M_alt 'P 1 21/m 1'
_space_group_IT_number 11
_space_group_name_Hall '-P 2yb'
_cell_length_a 6.923
_cell_length_b 9.030
_cell_length_c 9.501
_cell_angle_alpha 90.00
_cell_angle_beta 101.79
_cell_angle_gamma 90.00
loop_
_atom_site_label
_atom_site_fract_x
_atom_site_fract_y
_atom_site_fract_z
Li1 0.200 0.250 0.318
Tl1 0.352 0.250 0.948
Zn1 0.285 0.750 0.694
I1 0.007 0.750 0.465
I2 0.116 0.750 0.925
I3 0.462 0.024 0.267

# LiTlZn2I6 | Alexandria via LeMat-Bulk | PBE-GGA | relaxed
# * E_tot: -2.31 eV/atom
# * V: 1716.2 Å³/cell
# * total magnetic moment: 0.00 μB per formula unit
# * DOS at the Fermi energy: 0.00 states/eV per atom
data_LiTlZn2I6
_space_group_name_H-M_alt 'C 1 2/c 1'
_space_group_IT_number 15
_space_group_name_Hall '-C 2yc'
_cell_length_a 15.193
_cell_length_b 14.811
_cell_length_c 8.100
_cell_angle_alpha 90.00
_cell_angle_beta 109.69
_cell_angle_gamma 90.00
loop_
_atom_site_label
_atom_site_fract_x
_atom_site_fract_y
_atom_site_fract_z
Li1 0.000 0.216 0.250
Tl1 0.000 0.125 0.750
Zn1 0.195 0.426 0.703
I1 0.120 0.076 0.187
I2 0.127 0.268 0.573
I3 0.134 0.439 0.979

# LiZrTlI6 | Alexandria via LeMat-Bulk | PBE-GGA | relaxed
# * E_tot: -3.37 eV/atom
# * V: 761.9 Å³/cell
# * total magnetic moment: 0.00 μB per formula unit
# * DOS at the Fermi energy: 0.00 states/eV per atom
data_LiZrTlI6
_space_group_name_H-M_alt 'P -3 1 c'
_space_group_IT_number 163
_space_group_name_Hall '-P 3 2c'
_cell_length_a 7.6438
_cell_length_b 7.6438
_cell_length_c 15.0582
_cell_angle_alpha 90.00
_cell_angle_beta 90.00
_cell_angle_gamma 120.00
loop_
_atom_site_label
_atom_site_fract_x
_atom_site_fract_y
_atom_site_fract_z
Li1 0.3333 0.6667 0.2500
Zr1 0.3333 0.6667 0.7500
Tl1 0.0000 0.0000 0.0000
I1 0.0108 0.3749 0.6393